# 1
Below is crystalline ZrCdIn2 at its relaxed geometry, with properties calculated at the PBE level.

Structure (CIF):
```
data_ZrCdIn2
_chemical_formula_sum 'Zr1 Cd1 In2'
_symmetry_space_group_name_H-M 'P 4/m m m'
_symmetry_Int_Tables_number 123
_symmetry_space_group_name_Hall '-P 4 2'
_cell_length_a 3.1666
_cell_length_b 3.1666
_cell_length_c 9.3257
_cell_angle_alpha 90.00
_cell_angle_beta 90.00
_cell_angle_gamma 90.00
loop_
_atom_site_label
_atom_site_type_symbol
_atom_site_fract_x
_atom_site_fract_y
_atom_site_fract_z
Zr1 Zr 0.0000 0.0000 0.0000
Cd1 Cd 0.0000 0.0000 0.5000
In1 In 0.5000 0.5000 0.2387
```

* magnetization: 0.000 μB/atom
* DFT total energy: -3.779 eV/atom



# 2
Below is crystalline IrPt7Rh4 at its relaxed geometry, with properties calculated at the PBE level.

Structure (CIF):
```
data_IrPt7Rh4
_chemical_formula_sum 'Ir1 Pt7 Rh4'
_symmetry_space_group_name_H-M 'P -3 m 1'
_symmetry_Int_Tables_number 164
_symmetry_space_group_name_Hall '-P 3 2"'
_cell_length_a 2.7778
_cell_length_b 2.7778
_cell_length_c 27.0775
_cell_angle_alpha 90.00
_cell_angle_beta 90.00
_cell_angle_gamma 120.00
loop_
_atom_site_label
_atom_site_type_symbol
_atom_site_fract_x
_atom_site_fract_y
_atom_site_fract_z
Ir1 Ir 0.0000 0.0000 0.0000
Pt1 Pt 0.0000 0.0000 0.2484
Pt2 Pt 0.0000 0.0000 0.5000
Pt3 Pt 0.3333 0.6667 0.6652
Pt4 Pt 0.3333 0.6667 0.9171
Rh1 Rh 0.3333 0.6667 0.1655
Rh2 Rh 0.3333 0.6667 0.4175
```

* magnetization: 0.000 μB/atom
* DFT total energy: -6.707 eV/atom



# 3
Below is crystalline IrPtCl2 at its relaxed geometry, with properties calculated at the PBE level.

Structure (CIF):
```
data_IrPtCl2
_chemical_formula_sum 'Ir1 Pt1 Cl2'
_symmetry_space_group_name_H-M 'P 4 m m'
_symmetry_Int_Tables_number 99
_cell_length_a 3.0833
_cell_length_b 3.0833
_cell_length_c 8.3069
_cell_angle_alpha 90.00
_cell_angle_beta 90.00
_cell_angle_gamma 90.00
loop_
_symmetry_equiv_pos_as_xyz
'x,y,z'
'-y,x,z'
'-x,-y,z'
'y,-x,z'
'-x,y,z'
'y,x,z'
'x,-y,z'
'-y,-x,z'
loop_
_atom_site_label
_atom_site_type_symbol
_atom_site_fract_x
_atom_site_fract_y
_atom_site_fract_z
Ir1 Ir 0.0000 0.0000 0.0000
Pt1 Pt 0.5000 0.5000 0.1886
Cl1 Cl 0.0000 0.0000 0.3934
Cl2 Cl 0.5000 0.5000 0.8092
```

* magnetization: 0.000 μB/atom
* energy relative to the elements, uncorrected: 0.4330 eV/atom
* DFT total energy: -4.216 eV/atom



Question: Which value of magnetization does entry 3 give?
Answer: 0.000 μB/atom



Question: DFT total energy of number 2 (IrPt7Rh4)?
Answer: -6.707 eV/atom